Record 1
Ba3AlZn2O6 | PBE | optimized geometry

Cell and atoms, written as POSCAR:
```
Ba3AlZn2O6
1.0
5.855 0.000 0.000
-2.928 5.071 0.000
0.000 0.000 6.865
Ba Al Zn O
3 1 2 6
direct
0.333 0.667 0.652 Ba
0.667 0.333 0.348 Ba
0.000 0.000 0.000 Ba
0.000 0.000 0.500 Al
0.667 0.333 0.783 Zn
0.333 0.667 0.217 Zn
0.685 0.843 0.328 O
0.157 0.315 0.328 O
0.157 0.843 0.328 O
0.843 0.685 0.672 O
0.315 0.157 0.672 O
0.843 0.157 0.672 O
```

Calculated values
Final energy   -5.56 eV/atom
Space group   P-3m1
Energy relative to the elements, uncorrected   -2.075 eV/atom
Calculated density   5.4 g/cm³

---

Record 2
AsIrRh2 | PBE | optimized geometry

Cell and atoms, written as POSCAR:
```
AsIrRh2
1.0
-1.306 -0.219 4.955
-2.199 -4.328 1.654
4.168 2.036 -2.186
As Ir Rh
1 1 2
direct
0.750 0.250 0.500 As
0.250 0.750 0.500 Ir
0.966 0.966 0.000 Rh
0.534 0.534 0.000 Rh
```

Calculated values
Formation energy   0.14 eV per formula unit
Final energy   -7.02 eV/atom
Space group   Immm
Calculated density   13.4 g/cm³

---

Record 3
InOsBr | PBE | optimized geometry

Cell and atoms, written as POSCAR:
```
InOsBr
1.0
4.547 0.000 0.000
-2.274 3.938 0.000
0.000 0.000 3.205
Os Br In
1 1 1
direct
0.333 0.667 0.833 Os
0.000 0.000 0.833 Br
0.667 0.333 0.333 In
```

Calculated values
Final energy   -4.32 eV/atom
Space group   P-6m2
Energy relative to the elements, uncorrected   0.890 eV/atom
Calculated density   11.1 g/cm³
Energy relative to the lowest polymorph listed for this composition   62 meV per atom

---

Record 4
ZnCr | PBE | optimized geometry

Cell and atoms, written as POSCAR:
```
ZnCr
1.0
7.833 0.000 0.000
-3.917 6.784 0.000
0.000 0.000 3.181
Zn Cr
6 6
direct
0.843 0.686 0.250 Zn
0.157 0.843 0.750 Zn
0.314 0.157 0.250 Zn
0.157 0.314 0.750 Zn
0.843 0.157 0.250 Zn
0.686 0.843 0.750 Zn
0.444 0.887 0.250 Cr
0.556 0.444 0.750 Cr
0.113 0.556 0.250 Cr
0.556 0.113 0.750 Cr
0.444 0.556 0.250 Cr
0.887 0.444 0.750 Cr
```

Calculated values
Formation energy   0.68 eV per formula unit
Final energy   -5.11 eV/atom
Space group   P6_3/mmc
Calculated density   6.9 g/cm³

---

What is the formula in the first record?
Ba3AlZn2O6